ErSnIr2 PBE-GGA relaxed; VASP energy = -28.22 eV for the cell shown; D(E_F) = 2.45 states/eV/cell; ΔE_f = -0.483 eV per atom
1.0
3.450 0.000 0.000
0.000 3.450 0.000
0.000 0.000 6.240
Er Sn Ir
1 1 2
Cartesian
0.000 0.000 0.000 Er
0.000 0.000 3.120 Sn
1.725 1.725 1.653 Ir
1.725 1.725 4.587 Ir